First-principles (GGA-PBE) data for a geometry-optimized Sm2TeN structure, as listed in Alexandria.

Cell lengths 3.831, 3.831, 7.492 Å; angles 75.19, 75.19, 60.00 degrees
Atoms (fractional coordinates):
1 Sm 0.061 0.061 0.817
2 Sm 0.270 0.270 0.189
3 Te 0.500 0.500 0.501
4 N 0.669 0.669 0.993

First-principles (GGA-PBE) data for a geometry-optimized Sm2TeN structure, as listed in Alexandria.

Cell lengths 3.846, 3.846, 7.431 Å; angles 75.00, 75.00, 60.00 degrees
Atoms (fractional coordinates):
1 Te 0.500 0.500 0.500
2 N 0.000 0.000 0.000
3 Sm 0.729 0.729 0.814
4 Sm 0.271 0.271 0.186

First-principles (GGA-PBE) data for a geometry-optimized Sm2TeN structure, as listed in Alexandria.

Cell lengths 3.842, 3.842, 14.229 Å; angles 90.00, 90.00, 120.00 degrees
Atoms (fractional coordinates):
1 Sm 0.333 0.667 0.093
2 Sm 0.667 0.333 0.593
3 Sm 0.333 0.667 0.407
4 Sm 0.667 0.333 0.907
5 N 0.000 0.000 0.500
6 N 0.000 0.000 0.000
7 Te 0.333 0.667 0.750
8 Te 0.667 0.333 0.250

Number 1: N(E_F) 3.02 states/eV/f.u., raw total energy -26.26 eV for the cell shown, volume 91.0 Å³/cell. Number 2: N(E_F) 1.87 states/eV/f.u., raw total energy -26.32 eV for the cell shown, volume 90.8 Å³/cell. Number 3: N(E_F) 2.37 states/eV/f.u., raw total energy -52.72 eV for the cell shown, volume 181.9 Å³/cell.